Version a
Material: RbAc2Pb
Method: DFT, GGA-PBE
State: optimized geometry

Cell lengths 5.1695, 5.5944, 5.5944 Å; angles 90.00, 90.00, 90.00 degrees
Fractional positions:
Pb: 0.5000 0.0000 0.0000
Ac: 0.0000 0.0000 0.5000
Ac: 0.0000 0.5000 0.0000
Rb: 0.5000 0.5000 0.5000

Results
As for the total magnetization: 0.0 μB per formula unit.

=====

Version b
Material: RbAc2Pb
Method: DFT, GGA-PBE
State: optimized geometry

Cell lengths 4.2852, 4.2852, 13.5626 Å; angles 80.91, 80.91, 60.00 degrees
Fractional positions:
Pb: 0.5000 0.5000 0.5000
Ac: 0.1089 0.1089 0.6732
Ac: 0.8911 0.8911 0.3268
Rb: 0.0000 0.0000 0.0000

Results
As for the total magnetization: 0.0 μB per formula unit.

=====

Short version: version b is the least stable of them.

=====

Version a
Material: Ac3RhPb
Method: DFT, GGA-PBE
State: optimized geometry

Cell lengths 5.7445, 5.7445, 5.7445 Å; angles 90.00, 90.00, 90.00 degrees
Fractional positions:
Pb: 0.5000 0.5000 0.5000
Ac: 0.0000 0.5000 0.0000
Ac: 0.0000 0.0000 0.5000
Ac: 0.5000 0.0000 0.0000
Rh: 0.0000 0.0000 0.0000

Results
As for the total magnetization: 0.0 μB per formula unit.

=====

Version b
Material: Ac3RhPb
Method: DFT, GGA-PBE
State: optimized geometry

Cell lengths 4.7557, 9.2367, 16.1496 Å; angles 90.00, 90.00, 90.00 degrees
Fractional positions:
Ac: 0.2500 0.3423 0.5048
Ac: 0.7500 0.8042 0.2118
Ac: 0.7500 0.5279 0.8915
Ac: 0.7500 0.0279 0.6085
Ac: 0.7500 0.6577 0.4952
Ac: 0.2500 0.9721 0.3915
Ac: 0.2500 0.8423 0.9952
Ac: 0.7500 0.3042 0.2882
Ac: 0.2500 0.6958 0.7118
Ac: 0.2500 0.1958 0.7882
Ac: 0.7500 0.1577 0.0048
Ac: 0.2500 0.4721 0.1085
Rh: 0.2500 0.3394 0.9415
Rh: 0.2500 0.8394 0.5585
Rh: 0.7500 0.1606 0.4415
Rh: 0.7500 0.6606 0.0585
Pb: 0.7500 0.9163 0.8261
Pb: 0.2500 0.0837 0.1739
Pb: 0.7500 0.4163 0.6739
Pb: 0.2500 0.5837 0.3261

Results
As for the total magnetization: 0.0 μB per formula unit.

=====

Short version: version a is the least stable of them.

=====

Version a
Material: Ac2Rh2Pb
Method: DFT, GGA-PBE
State: optimized geometry

Cell lengths 4.6353, 5.9808, 5.9808 Å; angles 62.79, 67.20, 67.20 degrees
Fractional positions:
Ac: 0.7943 0.7057 0.7057
Ac: 0.2057 0.2943 0.2943
Rh: 0.5000 0.7192 0.2808
Rh: 0.5000 0.2808 0.7192
Pb: 0.0000 0.0000 0.0000

Results
As for the total magnetization: 0.0 μB per formula unit.

=====

Version b
Material: Ac2Rh2Pb
Method: DFT, GGA-PBE
State: optimized geometry

Cell lengths 4.0732, 8.0048, 8.0048 Å; angles 90.00, 90.00, 90.00 degrees
Fractional positions:
Ac: 0.0000 0.6719 0.3281
Ac: 0.0000 0.8281 0.8281
Ac: 0.0000 0.1719 0.1719
Ac: 0.0000 0.3281 0.6719
Rh: 0.5000 0.3711 0.3711
Rh: 0.5000 0.8711 0.1289
Rh: 0.5000 0.1289 0.8711
Rh: 0.5000 0.6289 0.6289
Pb: 0.5000 0.5000 0.0000
Pb: 0.5000 0.0000 0.5000

Results
As for the total magnetization: 0.0 μB per formula unit.

=====

Short version: version a is the least stable of them.

=====

Version a
Material: Ac3Rh2Pb4
Method: DFT, GGA-PBE
State: optimized geometry

Cell lengths 4.8537, 6.5462, 9.3312 Å; angles 101.52, 90.00, 111.76 degrees
Fractional positions:
Ac: 0.6287 0.2575 0.6850
Ac: 0.0000 0.0000 0.0000
Ac: 0.3713 0.7425 0.3150
Rh: 0.7066 0.4132 0.3985
Rh: 0.2934 0.5868 0.6015
Pb: 0.7053 0.4106 0.0882
Pb: 0.2947 0.5894 0.9118
Pb: 0.9080 0.8160 0.6150
Pb: 0.0920 0.1840 0.3850

Results
As for the total magnetization: 0.0 μB per formula unit.

=====

Version b
Material: Ac3Rh2Pb4
Method: DFT, GGA-PBE
State: optimized geometry

Cell lengths 4.8611, 6.5680, 9.7277 Å; angles 69.87, 75.53, 68.28 degrees
Fractional positions:
Ac: 0.3168 0.7451 0.6213
Ac: 0.0000 0.0000 0.0000
Ac: 0.6832 0.2549 0.3787
Rh: 0.3893 0.9350 0.2865
Rh: 0.6107 0.0650 0.7135
Pb: 0.2598 0.3819 0.0986
Pb: 0.7402 0.6181 0.9014
Pb: 0.0211 0.3075 0.6502
Pb: 0.9789 0.6925 0.3498

Results
As for the total magnetization: 0.0 μB per formula unit.

=====

Short version: version b is the least stable of them.

=====

Version a
Material: AcRh2Pb2
Method: DFT, GGA-PBE
State: optimized geometry

Cell lengths 7.0267, 7.0267, 5.7429 Å; angles 107.09, 107.09, 87.93 degrees
Fractional positions:
Ac: 0.8450 0.6550 0.7500
Ac: 0.1550 0.3450 0.2500
Rh: 0.2083 0.2917 0.7500
Rh: 0.4607 0.0393 0.2500
Rh: 0.5393 0.9607 0.7500
Rh: 0.7917 0.7083 0.2500
Pb: 0.1780 0.8828 0.4077
Pb: 0.3828 0.6780 0.9077
Pb: 0.8220 0.1172 0.5923
Pb: 0.6172 0.3220 0.0923

Results
As for the total magnetization: 0.0 μB per formula unit.

=====

Version b
Material: AcRh2Pb2
Method: DFT, GGA-PBE
State: optimized geometry

Cell lengths 4.2712, 5.5548, 5.9281 Å; angles 106.04, 111.12, 90.00 degrees
Fractional positions:
Ac: 0.0000 0.0000 0.0000
Rh: 0.2874 0.8677 0.5748
Rh: 0.7126 0.1323 0.4252
Pb: 0.6525 0.5925 0.3050
Pb: 0.3475 0.4075 0.6950

Results
As for the total magnetization: 0.0 μB per formula unit.

=====

Short version: version a is the least stable of them.

=====

Version a
Material: Ac4RhPb2
Method: DFT, GGA-PBE
State: optimized geometry

Cell lengths 4.8954, 6.8335, 8.5833 Å; angles 74.95, 73.43, 69.01 degrees
Fractional positions:
Ac: 0.0741 0.1999 0.6519
Ac: 0.9259 0.8001 0.3481
Ac: 0.3327 0.2739 0.0607
Ac: 0.6673 0.7261 0.9393
Rh: 0.0000 0.0000 0.0000
Pb: 0.3605 0.6240 0.6550
Pb: 0.6395 0.3760 0.3450

Results
As for the total magnetization: 0.0 μB per formula unit.

=====

Version b
Material: Ac4RhPb2
Method: DFT, GGA-PBE
State: optimized geometry

Cell lengths 7.0405, 7.4453, 10.8038 Å; angles 90.00, 114.84, 90.00 degrees
Fractional positions:
Ac: 0.4652 0.4998 0.2516
Ac: 0.1216 0.7500 0.8895
Ac: 0.8784 0.2500 0.1105
Ac: 0.4652 0.0002 0.2516
Ac: 0.9140 0.2500 0.5995
Ac: 0.5348 0.9998 0.7484
Ac: 0.5348 0.5002 0.7484
Ac: 0.0860 0.7500 0.4005
Rh: 0.1187 0.7500 0.1462
Rh: 0.8813 0.2500 0.8538
Pb: 0.6850 0.7500 0.0585
Pb: 0.3150 0.2500 0.9415
Pb: 0.2651 0.2500 0.4474
Pb: 0.7349 0.7500 0.5526

Results
As for the total magnetization: 0.0 μB per formula unit.

=====

Short version: version b is the least stable of them.

=====

Version a
Material: Ac4Rh2Pb
Method: DFT, GGA-PBE
State: optimized geometry

Cell lengths 8.7045, 8.7045, 8.7232 Å; angles 109.64, 109.65, 109.04 degrees
Fractional positions:
Ac: 0.9069 0.2219 0.3165
Ac: 0.3432 0.5281 0.1836
Ac: 0.9055 0.5904 0.6835
Ac: 0.7781 0.0932 0.6836
Ac: 0.4096 0.0945 0.3164
Ac: 0.3445 0.1596 0.8164
Ac: 0.4719 0.6569 0.8165
Ac: 0.8404 0.6554 0.1835
Rh: 0.6250 0.3750 0.7500
Rh: 0.6250 0.8750 0.2500
Rh: 0.6250 0.3750 0.2500
Rh: 0.1250 0.3750 0.7500
Pb: 0.2501 0.7501 0.5000
Pb: 0.9999 0.9999 0.0000

Results
As for the total magnetization: 0.0 μB per formula unit.

=====

Version b
Material: Ac4Rh2Pb
Method: DFT, GGA-PBE
State: optimized geometry

Cell lengths 4.5557, 7.4998, 14.6941 Å; angles 90.00, 90.00, 107.68 degrees
Fractional positions:
Ac: 0.7673 0.5346 0.1115
Ac: 0.7673 0.5346 0.3885
Ac: 0.2327 0.4654 0.8885
Ac: 0.2327 0.4654 0.6115
Ac: 0.9355 0.8710 0.7500
Ac: 0.0645 0.1290 0.2500
Ac: 0.5000 0.0000 0.0000
Ac: 0.5000 0.0000 0.5000
Rh: 0.1284 0.2569 0.4401
Rh: 0.8716 0.7431 0.9401
Rh: 0.1284 0.2569 0.0599
Rh: 0.8716 0.7431 0.5599
Pb: 0.6117 0.2234 0.7500
Pb: 0.3883 0.7766 0.2500

Results
As for the total magnetization: 0.0 μB per formula unit.

=====

Short version: version a is the least stable of them.

=====

Version a
Material: Ac5RuPb2
Method: DFT, GGA-PBE
State: optimized geometry

Cell lengths 4.8999, 9.0579, 13.2682 Å; angles 90.00, 90.00, 90.00 degrees
Fractional positions:
Ac: 0.0000 0.0000 0.5000
Ac: 0.0000 0.5000 0.0000
Ac: 0.0000 0.8693 0.1977
Ac: 0.0000 0.1307 0.8023
Ac: 0.0000 0.6307 0.6977
Ac: 0.0000 0.3693 0.3023
Ac: 0.5000 0.6833 0.4328
Ac: 0.5000 0.3167 0.5672
Ac: 0.5000 0.8167 0.9328
Ac: 0.5000 0.1833 0.0672
Ru: 0.0000 0.5000 0.5000
Ru: 0.0000 0.0000 0.0000
Pb: 0.5000 0.5836 0.1725
Pb: 0.5000 0.4164 0.8275
Pb: 0.5000 0.9164 0.6725
Pb: 0.5000 0.0836 0.3275

Results
As for the total magnetization: 0.0 μB per formula unit.

=====

Version b
Material: Ac5RuPb2
Method: DFT, GGA-PBE
State: optimized geometry

Cell lengths 6.3946, 6.5783, 16.7385 Å; angles 90.00, 90.00, 119.08 degrees
Fractional positions:
Ac: 0.9136 0.8273 0.8786
Ac: 0.9136 0.8273 0.6214
Ac: 0.4133 0.8267 0.3783
Ac: 0.4133 0.8267 0.1217
Ac: 0.7498 0.4996 0.2500
Ac: 0.2502 0.5004 0.7500
Ac: 0.5867 0.1733 0.6217
Ac: 0.5867 0.1733 0.8783
Ac: 0.0864 0.1727 0.1214
Ac: 0.0864 0.1727 0.3786
Ru: 0.7504 0.5007 0.7500
Ru: 0.2496 0.4993 0.2500
Pb: 0.7498 0.4996 0.4511
Pb: 0.7498 0.4996 0.0489
Pb: 0.2502 0.5004 0.5489
Pb: 0.2502 0.5004 0.9511

Results
As for the total magnetization: 0.0 μB per formula unit.

=====

Short version: version b is the least stable of them.